(1)
ScTlAgHg (PBE-GGA, optimized geometry); spin magnetization = 0.00 μB/cell; energy of formation = -149 meV per atom
1.0
0.0000 3.5002 3.5002
3.5002 0.0000 3.5002
3.5002 3.5002 0.0000
Sc Tl Ag Hg
1 1 1 1
direct
0.0000 0.0000 0.0000
0.2500 0.2500 0.2500
0.5000 0.5000 0.5000
0.7500 0.7500 0.7500

---

(2)
Sc4TlAgHg2 (PBE-GGA, optimized geometry); spin magnetization = 0.00 μB/cell; energy of formation = -351 meV per atom
1.0
2.4842 1.4343 8.1666
-2.4842 1.4343 8.1666
0.0000 -2.8685 8.1666
Sc Tl Ag Hg
4 1 1 2
direct
0.1225 0.1225 0.1225
0.3732 0.3732 0.3732
0.6268 0.6268 0.6268
0.8775 0.8775 0.8775
0.5000 0.5000 0.5000
0.0000 0.0000 0.0000
0.2531 0.2531 0.2531
0.7469 0.7469 0.7469

---

(3)
Sc5Tl2AgHg2 (PBE-GGA, optimized geometry); spin magnetization = 1.17 μB/cell; energy of formation = -135 meV per atom
1.0
11.9645 0.0000 0.0000
0.0000 11.9645 0.0000
0.0000 0.0000 3.3293
Sc Tl Ag Hg
10 4 2 4
direct
0.0000 0.5000 0.0000
0.0159 0.2000 0.0000
0.2000 0.9841 0.0000
0.3000 0.4841 0.0000
0.4841 0.7000 0.0000
0.5000 0.0000 0.0000
0.5159 0.3000 0.0000
0.7000 0.5159 0.0000
0.8000 0.0159 0.0000
0.9841 0.8000 0.0000
0.1776 0.6776 0.5000
0.3224 0.1776 0.5000
0.6776 0.8224 0.5000
0.8224 0.3224 0.5000
0.0000 0.0000 0.5000
0.5000 0.5000 0.5000
0.1412 0.3588 0.5000
0.3588 0.8588 0.5000
0.6412 0.1412 0.5000
0.8588 0.6412 0.5000

---

(4)
Sc2TlAgHg (PBE-GGA, optimized geometry); spin magnetization = 0.00 μB/cell; energy of formation = 678 meV per atom
1.0
5.4502 0.0000 0.0000
0.0000 5.4502 0.0000
0.0000 0.0000 5.3561
Sc Tl Ag Hg
2 1 1 1
direct
0.0000 0.5000 0.0000
0.5000 0.0000 0.0000
0.0000 0.0000 0.0000
0.5000 0.5000 0.5000
0.0000 0.0000 0.5000

---

(5)
Sc4Tl2AgHg (PBE-GGA, optimized geometry); spin magnetization = 1.00 μB/cell; energy of formation = -321 meV per atom
1.0
2.5013 1.4441 8.1789
-2.5013 1.4441 8.1789
0.0000 -2.8883 8.1789
Sc Tl Ag Hg
4 2 1 1
direct
0.1251 0.1251 0.1251
0.3754 0.3754 0.3754
0.6246 0.6246 0.6246
0.8749 0.8749 0.8749
0.2477 0.2477 0.2477
0.7523 0.7523 0.7523
0.5000 0.5000 0.5000
0.0000 0.0000 0.0000

---

(6)
YSc2AgHg4 (PBE-GGA, optimized geometry); spin magnetization = 0.00 μB/cell; energy of formation = -332 meV per atom
1.0
2.4784 1.4309 8.4453
-2.4784 1.4309 8.4453
0.0000 -2.8618 8.4453
Y Sc Ag Hg
1 2 1 4
direct
0.0000 0.0000 0.0000
0.2421 0.2421 0.2421
0.7579 0.7579 0.7579
0.5000 0.5000 0.5000
0.1243 0.1243 0.1243
0.3791 0.3791 0.3791
0.6209 0.6209 0.6209
0.8757 0.8757 0.8757

---

(7)
YScAgHg (PBE-GGA, optimized geometry); spin magnetization = 0.00 μB/cell; energy of formation = -375 meV per atom
1.0
0.0000 3.5880 3.5880
3.5880 0.0000 3.5880
3.5880 3.5880 0.0000
Y Sc Ag Hg
1 1 1 1
direct
0.0000 0.0000 0.0000
0.5000 0.5000 0.5000
0.7500 0.7500 0.7500
0.2500 0.2500 0.2500

---

(8)
ScZnAg2Hg (PBE-GGA, optimized geometry); spin magnetization = 0.00 μB/cell; energy of formation = 744 meV per atom
1.0
5.3228 0.0000 0.0000
0.0000 5.3228 0.0000
0.0000 0.0000 5.3757
Sc Zn Ag Hg
1 1 2 1
direct
0.0000 0.0000 0.0000
0.0000 0.0000 0.5000
0.0000 0.5000 0.0000
0.5000 0.0000 0.0000
0.5000 0.5000 0.5000

---

(9)
Sc4ZnAgHg2 (PBE-GGA, optimized geometry); spin magnetization = 0.00 μB/cell; energy of formation = -379 meV per atom
1.0
2.4450 1.4116 7.9969
-2.4450 1.4116 7.9969
0.0000 -2.8233 7.9969
Sc Zn Ag Hg
4 1 1 2
direct
0.1238 0.1238 0.1238
0.3737 0.3737 0.3737
0.6263 0.6263 0.6263
0.8762 0.8762 0.8762
0.0000 0.0000 0.0000
0.5000 0.5000 0.5000
0.2506 0.2506 0.2506
0.7494 0.7494 0.7494

---

(10)
ScZnAgHg (PBE-GGA, optimized geometry); spin magnetization = 0.00 μB/cell; energy of formation = -249 meV per atom
1.0
0.0000 3.3491 3.3491
3.3491 0.0000 3.3491
3.3491 3.3491 0.0000
Sc Zn Ag Hg
1 1 1 1
direct
0.0000 0.0000 0.0000
0.5000 0.5000 0.5000
0.7500 0.7500 0.7500
0.2500 0.2500 0.2500

---

(11)
Sc4ZnAg2Hg (PBE-GGA, optimized geometry); spin magnetization = 0.00 μB/cell; energy of formation = -333 meV per atom
1.0
2.4303 1.4031 7.9517
-2.4303 1.4031 7.9517
0.0000 -2.8063 7.9517
Sc Zn Ag Hg
4 1 2 1
direct
0.1222 0.1222 0.1222
0.3726 0.3726 0.3726
0.6274 0.6274 0.6274
0.8778 0.8778 0.8778
0.0000 0.0000 0.0000
0.2512 0.2512 0.2512
0.7488 0.7488 0.7488
0.5000 0.5000 0.5000

---

(12)
Sc2ZnAgHg (PBE-GGA, optimized geometry); spin magnetization = 0.00 μB/cell; energy of formation = 286 meV per atom
1.0
5.1958 0.0000 0.0000
0.0000 5.1958 0.0000
0.0000 0.0000 4.7430
Sc Zn Ag Hg
2 1 1 1
direct
0.0000 0.5000 0.0000
0.5000 0.0000 0.0000
0.0000 0.0000 0.5000
0.0000 0.0000 0.0000
0.5000 0.5000 0.5000

---

| no. | DFT total energy (eV per atom) |
| --- | --- |
| 1 | -3.112 |
| 2 | -4.245 |
| 3 | -4.119 |
| 4 | -2.958 |
| 5 | -4.473 |
| 6 | -3.230 |
| 7 | -4.362 |
| 8 | -1.978 |
| 9 | -4.136 |
| 10 | -2.939 |
| 11 | -4.409 |
| 12 | -3.132 |